! PmScSnBi (GGA-PBE, relaxed); values from VASP
&SYSTEM
  ibrav = 0, nat = 16, ntyp = 4
/
ATOMIC_SPECIES
Pm 145.00 Pm.upf
Sc 44.96 Sc.upf
Sn 118.71 Sn.upf
Bi 208.98 Bi.upf
ATOMIC_POSITIONS crystal
Pm 0.0000 0.0000 0.0000
Pm 0.0000 0.5000 0.5000
Pm 0.5000 0.0000 0.5000
Pm 0.5000 0.5000 0.0000
Sc 0.0000 0.0000 0.5000
Sc 0.0000 0.5000 0.0000
Sc 0.5000 0.0000 0.0000
Sc 0.5000 0.5000 0.5000
Sn 0.2500 0.2500 0.7500
Sn 0.2500 0.7500 0.2500
Sn 0.7500 0.2500 0.2500
Sn 0.7500 0.7500 0.7500
Bi 0.2500 0.2500 0.2500
Bi 0.2500 0.7500 0.7500
Bi 0.7500 0.2500 0.7500
Bi 0.7500 0.7500 0.2500
CELL_PARAMETERS angstrom
7.6125 0.0000 0.0000
0.0000 7.6125 0.0000
0.0000 0.0000 7.6125
! ΔE_f: -0.4698 eV/atom
! VASP energy: -5.21 eV per atom
! SG: F-43m, No. 216